Record 1
Computed, not measured: crystalline PmPr5N6 at its relaxed geometry at the PBE level of DFT.

Unit cell a=6.3708 b=11.0357 c=6.3707 alpha=90.00 beta=109.46 gamma=90.00
Space group C2/m (No. 12)
Symmetry-distinct sites (fractional):
Pm  0.0000  0.0000  0.0000 x2
Pr  0.0000  0.1661  0.5000 x4
Pr  0.0000  0.3332  0.0000 x4
Pr  0.0000  0.5000  0.5000 x2
N  0.2472  0.0000  0.7511 x4
N  0.2478  0.1651  0.2481 x8

Properties
- Crystal system: monoclinic
- Uncorrected energy: -7.86 eV/atom

=====

Record 2
Computed, not measured: crystalline BeZnOs2 at its relaxed geometry at the PBE level of DFT.

Unit cell a=3.7437 b=3.7437 c=7.5227 alpha=90.00 beta=90.00 gamma=90.00
Space group I4/mmm (No. 139)
Symmetry-distinct sites (fractional):
Be  0.0000  0.0000  0.0000 x2
Zn  0.0000  0.0000  0.5000 x2
Os  0.0000  0.5000  0.2500 x4

Properties
- Energy of formation: 0.426 eV per atom
- Crystal system: tetragonal

=====

Record 3
Computed, not measured: crystalline Mg2TcH4 at its relaxed geometry at the PBE level of DFT.

Unit cell a=3.6138 b=3.6138 c=10.1754 alpha=90.00 beta=90.00 gamma=90.00
Space group I4/mmm (No. 139)
Symmetry-distinct sites (fractional):
Mg  0.0000  0.0000  0.1370 x4
Tc  0.0000  0.0000  0.5000 x2
H  0.0000  0.0000  0.3243 x4
H  0.0000  0.5000  0.0000 x4

Properties
- Relative energy among the computed polymorphs: 0 meV/atom
- Crystal system: tetragonal

=====

Record 4
Computed, not measured: crystalline CuRuRh4 at its relaxed geometry at the PBE level of DFT.

Unit cell a=8.5883 b=2.6913 c=8.5276 alpha=90.00 beta=117.90 gamma=90.00
Space group C2/m (No. 12)
Symmetry-distinct sites (fractional):
Cu  0.0000  0.0000  0.0000 x2
Ru  0.0000  0.5000  0.5000 x2
Rh  0.1551  0.0000  0.3459 x4
Rh  0.1553  0.5000  0.8459 x4

Properties
- Relative energy among the computed polymorphs: 153 meV/atom
- Energy of formation: 0.223 eV per atom
- Crystal system: monoclinic

=====

Record 5
Computed, not measured: crystalline YFe2GeRu at its relaxed geometry at the PBE level of DFT.

Unit cell a=4.4300 b=4.4300 c=5.1110 alpha=90.00 beta=90.00 gamma=90.00
Space group P4/mmm (No. 123)
Symmetry-distinct sites (fractional):
Y  0.0000  0.0000  0.0000 x1
Fe  0.0000  0.5000  0.0000 x2
Ge  0.0000  0.0000  0.5000 x1
Ru  0.5000  0.5000  0.5000 x1

Properties
- Energy of formation: 1.994 eV per atom
- Crystal system: tetragonal

=====

Record 6
Computed, not measured: crystalline Sb2TeW at its relaxed geometry at the PBE level of DFT.

Unit cell a=4.5936 b=4.5936 c=8.5893 alpha=90.00 beta=90.00 gamma=90.00
Space group I4/mmm (No. 139)
Symmetry-distinct sites (fractional):
Sb  0.0000  0.5000  0.2500 x4
Te  0.0000  0.0000  0.0000 x2
W  0.0000  0.0000  0.5000 x2

Properties
- Crystal system: tetragonal
- Uncorrected energy: -5.23 eV/atom

=====

Record 7
Computed, not measured: crystalline Na4Sc3AsS8 at its relaxed geometry at the PBE level of DFT.

Unit cell a=7.5582 b=7.5582 c=19.8225 alpha=90.00 beta=90.00 gamma=120.00
Space group R-3m (No. 166, hexagonal axes)
Symmetry-distinct sites (fractional):
Na  0.0000  0.0000  0.0000 x3
Na  0.0000  0.5000  0.0000 x9
Sc  0.0000  0.5000  0.5000 x9
As  0.0000  0.0000  0.5000 x3
S  0.0000  0.0000  0.2388 x6
S  0.0012  0.5006  0.2381 x18

Properties
- Crystal system: trigonal
- Uncorrected energy: -5.31 eV/atom

=====

Record 8
Computed, not measured: crystalline CsNaTaCl6 at its relaxed geometry at the PBE level of DFT.

Unit cell a=7.0375 b=7.0375 c=15.0136 alpha=90.00 beta=90.00 gamma=120.00
Space group P-31c (No. 163)
Symmetry-distinct sites (fractional):
Cs  0.0000  0.0000  0.0000 x2
Na  0.3333  0.6667  0.2500 x2
Ta  0.3333  0.6667  0.7500 x2
Cl  0.0440  0.3940  0.6562 x12

Properties
- Crystal system: trigonal
- Uncorrected energy: -4.35 eV/atom

=====

Record 9
Computed, not measured: crystalline BaNi3Sb3 at its relaxed geometry at the PBE level of DFT.

Unit cell a=7.0897 b=7.0897 c=24.0719 alpha=90.00 beta=90.00 gamma=120.00
Space group R-3 (No. 148, hexagonal axes)
Symmetry-distinct sites (fractional):
Ba  0.0000  0.0000  0.1589 x6
Ni  0.0058  0.2823  0.9644 x18
Sb  0.0137  0.3906  0.0653 x18

Properties
- Relative energy among the computed polymorphs: 54 meV/atom
- Crystal system: trigonal

=====

Record 10
Computed, not measured: crystalline Tc3PtRh at its relaxed geometry at the PBE level of DFT.

Unit cell a=4.5891 b=4.5891 c=4.5891 alpha=90.00 beta=90.00 gamma=90.00
Space group Pm-3m (No. 221)
Symmetry-distinct sites (fractional):
Tc  0.0000  0.0000  0.5000 x3
Pt  0.5000  0.5000  0.5000 x1
Rh  0.0000  0.0000  0.0000 x1

Properties
- Energy of formation: 1.858 eV per atom
- Crystal system: cubic